<a>
This record from Alexandria via LeMat-Bulk describes a relaxed TaRu2Pt crystal. The functional is PBEsol.

Summary:
For the volume, the calculation gives 58.3 Å³/f.u. As for the magnetic moment: 0.000 μB/f.u. The calculation puts the density of states at the Fermi level at 5.1 states/eV per cell.

Unit cell a=3.8682 b=3.8682 c=7.7919 alpha=90.00 beta=90.00 gamma=90.00
With the nearest neighbours (Å) after each atom.
Fractional positions:
Ta1 0.0000 0.0000 0.0000  8 Ru 2.74-2.75, 4 Pt 2.75
Ta2 0.5000 0.5000 0.5000  8 Ru 2.74-2.75, 4 Pt 2.75
Ru1 0.0000 0.0000 0.5000  4 Ta 2.74, 4 Ru 2.75, 4 Pt 2.75
Ru2 0.0000 0.5000 0.7500  4 Pt 2.74, 4 Ta 2.75, 4 Ru 2.75
Ru3 0.5000 0.0000 0.2500  4 Pt 2.74, 4 Ta 2.75, 4 Ru 2.75
Ru4 0.5000 0.5000 0.0000  4 Ta 2.74, 4 Ru 2.75, 4 Pt 2.75
Pt1 0.0000 0.5000 0.2500  8 Ru 2.74-2.75, 4 Ta 2.75
Pt2 0.5000 0.0000 0.7500  8 Ru 2.74-2.75, 4 Ta 2.75

<b>
This record from Alexandria via LeMat-Bulk describes a relaxed TaRu2Pt crystal. The functional is PBEsol.

Summary:
For the volume, the calculation gives 58.1 Å³/f.u. As for the magnetic moment: 0.000 μB/f.u. The calculation puts the density of states at the Fermi level at 3.6 states/eV per cell.

Unit cell a=3.8932 b=3.8932 c=3.8304 alpha=90.00 beta=90.00 gamma=90.00
With the nearest neighbours (Å) after each atom.
Fractional positions:
Ta1 0.0000 0.0000 0.0000  8 Ru 2.73, 4 Pt 2.75
Ru1 0.0000 0.5000 0.5000  4 Ta 2.73, 4 Pt 2.73, 4 Ru 2.75
Ru2 0.5000 0.0000 0.5000  4 Ta 2.73, 4 Pt 2.73, 4 Ru 2.75
Pt1 0.5000 0.5000 0.0000  8 Ru 2.73, 4 Ta 2.75

Which of them is most stable? Easy: <b>.

<a>
This record from Alexandria via LeMat-Bulk describes a relaxed TcRuPt2 crystal. The functional is PBEsol.

Summary:
For the volume, the calculation gives 57.0 Å³/f.u. As for the magnetic moment: 0.000 μB/f.u. The calculation puts the density of states at the Fermi level at 3.6 states/eV per cell.

Unit cell a=2.7068 b=2.7068 c=7.7738 alpha=90.00 beta=90.00 gamma=90.00
With the nearest neighbours (Å) after each atom.
Fractional positions:
Tc1 0.0000 0.0000 0.0000  4 Ru 2.60, 4 Tc 2.71, 4 Pt 2.73
Ru1 0.5000 0.5000 0.7740  4 Tc 2.60, 4 Ru 2.71, 4 Pt 2.75
Pt1 0.0000 0.0000 0.5196  8 Pt 2.71-2.83, 4 Ru 2.75
Pt2 0.5000 0.5000 0.2511  8 Pt 2.71-2.83, 4 Tc 2.73

<b>
This record from Alexandria via LeMat-Bulk describes a relaxed TcRuPt2 crystal. The functional is PBEsol.

Summary:
For the volume, the calculation gives 56.8 Å³/f.u. As for the magnetic moment: 0.000 μB/f.u. The calculation puts the density of states at the Fermi level at 9.0 states/eV per cell.

Unit cell a=9.0476 b=2.6944 c=4.7268 alpha=90.00 beta=99.65 gamma=90.00
With the nearest neighbours (Å) after each atom.
Fractional positions:
Tc1 0.0000 0.0000 0.0000  3 Ru 2.65-2.73, 7 Pt 2.67-2.77, 2 Tc 2.69
Tc2 0.5000 0.5000 0.0000  3 Ru 2.65-2.73, 7 Pt 2.67-2.77, 2 Tc 2.69
Ru1 0.2429 0.5000 0.2311  3 Tc 2.65-2.73, 7 Pt 2.67-2.77, 2 Ru 2.69
Ru2 0.7429 0.0000 0.2311  3 Tc 2.65-2.73, 7 Pt 2.67-2.77, 2 Ru 2.69
Pt1 0.2497 0.0000 0.7460  4 Ru 2.67-2.77, 5 Pt 2.69-2.78, 3 Tc 2.73
Pt2 0.4934 0.0000 0.4866  4 Tc 2.67-2.77, 5 Pt 2.69-2.78, 3 Ru 2.73-2.74
Pt3 0.7497 0.5000 0.7460  4 Ru 2.67-2.77, 5 Pt 2.69-2.78, 3 Tc 2.73
Pt4 0.9934 0.5000 0.4866  4 Tc 2.67-2.77, 5 Pt 2.69-2.78, 3 Ru 2.73-2.74

Which of them is most stable? Easy: <a>.

<a>
This record from Alexandria via LeMat-Bulk describes a relaxed TcRuPt2 crystal. The functional is PBEsol.

Summary:
For the volume, the calculation gives 56.7 Å³/f.u. As for the magnetic moment: 0.002 μB/f.u. The calculation puts the density of states at the Fermi level at 10.3 states/eV per cell.

Unit cell a=3.8461 b=3.8461 c=7.6728 alpha=90.00 beta=90.00 gamma=90.00
With the nearest neighbours (Å) after each atom.
Fractional positions:
Tc1 0.0000 0.0000 0.0000  4 Ru 2.72, 8 Pt 2.72
Tc2 0.5000 0.5000 0.5000  4 Ru 2.72, 8 Pt 2.72
Ru1 0.0000 0.5000 0.7500  4 Tc 2.72, 8 Pt 2.72
Ru2 0.5000 0.0000 0.2500  4 Tc 2.72, 8 Pt 2.72
Pt1 0.0000 0.0000 0.5000  4 Ru 2.72, 4 Pt 2.72, 4 Tc 2.72
Pt2 0.0000 0.5000 0.2500  4 Tc 2.72, 4 Pt 2.72, 4 Ru 2.72
Pt3 0.5000 0.0000 0.7500  4 Tc 2.72, 4 Pt 2.72, 4 Ru 2.72
Pt4 0.5000 0.5000 0.0000  4 Ru 2.72, 4 Pt 2.72, 4 Tc 2.72

<b>
This record from Alexandria via LeMat-Bulk describes a relaxed TcRuPt2 crystal. The functional is PBEsol.

Summary:
For the volume, the calculation gives 57.1 Å³/f.u. As for the magnetic moment: 0.000 μB/f.u. The calculation puts the density of states at the Fermi level at 11.2 states/eV per cell.

Unit cell a=2.7046 b=2.7046 c=27.0466 alpha=90.00 beta=90.00 gamma=120.00
With the nearest neighbours (Å) after each atom.
Fractional positions:
Tc1 0.0000 0.0000 0.0000  3 Ru 2.59, 6 Tc 2.70, 3 Pt 2.75
Tc2 0.3333 0.6667 0.6667  3 Ru 2.59, 6 Tc 2.70, 3 Pt 2.75
Tc3 0.6667 0.3333 0.3333  3 Ru 2.59, 6 Tc 2.70, 3 Pt 2.75
Ru1 0.0000 0.0000 0.7428  3 Tc 2.59, 6 Ru 2.70, 3 Pt 2.78
Ru2 0.3333 0.6667 0.4095  3 Tc 2.59, 6 Ru 2.70, 3 Pt 2.78
Ru3 0.6667 0.3333 0.0762  3 Tc 2.59, 6 Ru 2.70, 3 Pt 2.78
Pt1 0.0000 0.0000 0.2495  9 Pt 2.70-2.86, 3 Tc 2.75
Pt2 0.0000 0.0000 0.4945  9 Pt 2.70-2.86, 3 Ru 2.78
Pt3 0.3333 0.6667 0.1611  9 Pt 2.70-2.86, 3 Ru 2.78
Pt4 0.3333 0.6667 0.9162  9 Pt 2.70-2.86, 3 Tc 2.75
Pt5 0.6667 0.3333 0.5829  9 Pt 2.70-2.86, 3 Tc 2.75
Pt6 0.6667 0.3333 0.8278  9 Pt 2.70-2.86, 3 Ru 2.78

<c>
This record from Alexandria via LeMat-Bulk describes a relaxed TcRuPt2 crystal. The functional is PBEsol.

Summary:
For the volume, the calculation gives 56.9 Å³/f.u. As for the magnetic moment: 0.000 μB/f.u. The calculation puts the density of states at the Fermi level at 4.2 states/eV per cell.

Unit cell a=2.7053 b=3.8269 c=5.4953 alpha=90.00 beta=90.00 gamma=90.00
With the nearest neighbours (Å) after each atom.
Fractional positions:
Tc1 0.0000 0.0000 0.0000  6 Pt 2.65-2.85, 4 Ru 2.65, 2 Tc 2.71
Ru1 0.5000 0.5000 0.7749  6 Pt 2.64-2.85, 4 Tc 2.65, 2 Ru 2.71
Pt1 0.0000 0.0000 0.5184  2 Tc 2.65-2.85, 6 Pt 2.71-2.75, 4 Ru 2.73
Pt2 0.5000 0.5000 0.2560  2 Ru 2.64-2.85, 6 Pt 2.71-2.75, 4 Tc 2.73

Which of them is most stable? Easy: <c>.

<a>
This record from Alexandria via LeMat-Bulk describes a relaxed Te2RuPt crystal. The functional is PBEsol.

Summary:
For the volume, the calculation gives 83.8 Å³/f.u. As for the magnetic moment: 0.002 μB/f.u. The calculation puts the density of states at the Fermi level at 3.6 states/eV per cell.

Unit cell a=3.5866 b=3.5866 c=6.5130 alpha=90.00 beta=90.00 gamma=90.00
With the nearest neighbours (Å) after each atom.
Fractional positions:
Te1 0.0000 0.0000 0.0000  1 Pt 2.61, 4 Ru 2.73
Te2 0.5000 0.5000 0.4514  1 Ru 2.56, 4 Pt 2.71
Ru1 0.5000 0.5000 0.8449  5 Te 2.56-2.73
Pt1 0.0000 0.0000 0.5995  5 Te 2.61-2.71

<b>
This record from Alexandria via LeMat-Bulk describes a relaxed Te2RuPt crystal. The functional is PBEsol.

Summary:
For the volume, the calculation gives 74.0 Å³/f.u. As for the magnetic moment: 0.000 μB/f.u. The calculation puts the density of states at the Fermi level at 3.5 states/eV per cell.

Unit cell a=4.7259 b=4.7259 c=3.3154 alpha=90.00 beta=90.00 gamma=90.00
With the nearest neighbours (Å) after each atom.
Fractional positions:
Te1 0.0000 0.5000 0.0000  4 Ru 2.89, 4 Pt 2.89
Te2 0.5000 0.0000 0.0000  4 Ru 2.89, 4 Pt 2.89
Ru1 0.0000 0.0000 0.5000  8 Te 2.89
Pt1 0.5000 0.5000 0.5000  8 Te 2.89

Which of them is most stable? Easy: <a>.